No. 1
# Li2SmInPd4 PBE-GGA optimized geometry
# - Volume: 17.50 Å³ per atom
# - Space-group type: R-3m, No. 166
# - Crystal system: trigonal
# - E_tot: -36.8 eV/cell
# - N(E_F): 0.371 states/eV/atom
# - Formation energy: -0.60 eV per atom
data_Li2SmInPd4
_chemical_formula_sum 'Li2 Sm1 In1 Pd4'
_cell_length_a 4.583
_cell_length_b 4.583
_cell_length_c 8.138
_cell_angle_alpha 73.64
_cell_angle_beta 73.64
_cell_angle_gamma 60.00
_symmetry_space_group_name_H-M 'P 1'
_symmetry_Int_Tables_number 1
loop_
_symmetry_equiv_pos_as_xyz
'x,y,z'
loop_
_atom_site_label
_atom_site_fract_x
_atom_site_fract_y
_atom_site_fract_z
_atom_site_occupancy
Li1 0.756 0.756 0.732 1
In1 0.500 0.500 0.500 1
Pd1 0.617 0.617 0.150 1
Pd2 0.874 0.874 0.379 1
Pd3 0.383 0.383 0.850 1
Sm1 0.000 0.000 0.000 1
Pd4 0.126 0.126 0.621 1
Li2 0.244 0.244 0.268 1

---

No. 2
# LiIn3Sn3Pd2 PBE-GGA optimized geometry
# - Volume: 21.60 Å³ per atom
# - Space-group type: P-62m, No. 189
# - Crystal system: hexagonal
# - E_tot: -34.4 eV/cell
# - N(E_F): 0.373 states/eV/atom
# - Formation energy: -0.21 eV per atom
data_LiIn3Sn3Pd2
_chemical_formula_sum 'Li1 In3 Sn3 Pd2'
_cell_length_a 3.821
_cell_length_b 7.664
_cell_length_c 7.664
_cell_angle_alpha 120.00
_cell_angle_beta 90.00
_cell_angle_gamma 90.00
_symmetry_space_group_name_H-M 'P 1'
_symmetry_Int_Tables_number 1
loop_
_symmetry_equiv_pos_as_xyz
'x,y,z'
loop_
_atom_site_label
_atom_site_fract_x
_atom_site_fract_y
_atom_site_fract_z
_atom_site_occupancy
In1 0.000 0.395 0.000 1
Li1 0.000 0.000 0.000 1
Sn1 0.500 0.275 0.275 1
Sn2 0.500 0.725 0.000 1
Pd1 0.500 0.667 0.333 1
In2 0.000 0.605 0.605 1
In3 0.000 0.000 0.395 1
Pd2 0.500 0.333 0.667 1
Sn3 0.500 0.000 0.725 1

---

No. 3
# SrLiInPd PBE-GGA optimized geometry
# - Volume: 25.17 Å³ per atom
# - Space-group type: Cm, No. 8
# - Crystal system: monoclinic
# - E_tot: -13.5 eV/cell
# - N(E_F): 0.578 states/eV/atom
# - Formation energy: -0.50 eV per atom
data_SrLiInPd
_chemical_formula_sum 'Sr1 Li1 In1 Pd1'
_cell_length_a 4.745
_cell_length_b 4.738
_cell_length_c 5.874
_cell_angle_alpha 114.22
_cell_angle_beta 90.00
_cell_angle_gamma 120.04
_symmetry_space_group_name_H-M 'P 1'
_symmetry_Int_Tables_number 1
loop_
_symmetry_equiv_pos_as_xyz
'x,y,z'
loop_
_atom_site_label
_atom_site_fract_x
_atom_site_fract_y
_atom_site_fract_z
_atom_site_occupancy
Sr1 0.621 0.242 0.507 1
Pd1 0.423 0.846 0.910 1
In1 0.105 0.211 0.958 1
Li1 0.817 0.634 0.092 1